1.
A plane-wave DFT calculation with PBE was carried out for a geometry-optimized La5Sb2I structure.

a b c (Å): 11.452 7.717 7.717
angles (deg): 90.00 132.33 90.00
Space group Cm (No. 8)
One atom of each set of equivalent atoms:
La 0.000 0.000 0.000 x2
La 0.298 0.241 0.055 x4
La 0.298 0.241 0.538 x4
Sb 0.040 0.000 0.539 x2
Sb 0.040 0.500 0.040 x2
I 0.086 0.500 0.585 x2

Values from the calculation:
Crystal system ... monoclinic
Raw total energy ... -5.0902 eV/atom
Formation energy from raw total energies ... -0.79 eV/atom

***

2.
A plane-wave DFT calculation with PBE was carried out for a geometry-optimized Cd4In5Bi structure.

a b c (Å): 4.030 4.030 16.274
angles (deg): 90.00 90.00 90.00
Space group P4/mmm (No. 123)
One atom of each set of equivalent atoms:
Cd 0.000 0.000 0.098 x2
Cd 0.000 0.000 0.292 x2
In 0.500 0.500 0.000 x1
In 0.500 0.500 0.196 x2
In 0.500 0.500 0.393 x2
Bi 0.000 0.000 0.500 x1

Values from the calculation:
Crystal system ... tetragonal
Raw total energy ... -2.0709 eV/atom
Calculated formation energy ... 50.6 kJ/mol of formula units